The following is a PBE+U calculation of an optimized crystal structure of Ti4Fe3O12, from Alexandria via LeMat-Bulk.

Structure (POSCAR):
```
Ti4Fe3O12
1.0
-3.7290 3.7290 3.7290
3.7290 -3.7290 3.7290
3.7290 3.7290 -3.7290
Ti Fe O
4 3 12
direct
0.0000 0.0000 0.5000
0.0000 0.5000 0.0000
0.5000 0.0000 0.0000
0.5000 0.5000 0.5000
0.0000 0.5000 0.5000
0.5000 0.0000 0.5000
0.5000 0.5000 0.0000
0.1253 0.3131 0.8123
0.1877 0.5008 0.3131
0.1877 0.8747 0.6869
0.3131 0.1877 0.5008
0.3131 0.8123 0.1253
0.4992 0.6869 0.8123
0.5008 0.3131 0.1877
0.6869 0.1877 0.8747
0.6869 0.8123 0.4992
0.8123 0.1253 0.3131
0.8123 0.4992 0.6869
0.8747 0.6869 0.1877
```

Computed properties:
E_tot = -7.98 eV per atom